# 1
Here is an optimized crystal structure of HfTl2Re from the Open Quantum Materials Database. Energies are from PBE-GGA.

Cell lengths 4.9006, 4.9006, 4.9006 Å; angles 60.00, 60.00, 60.00 degrees
Last column: magnetic moment on the atom in μB.
Fractional coordinates of all 4 atoms:
Hf: 0.5000 0.5000 0.5000  -0.01
Re: 0.7500 0.7500 0.7500  0.27
Tl: 0.0000 0.0000 0.0000  0.00
Tl: 0.2500 0.2500 0.2500  0.00

Properties
The total energy comes out at -23.9 eV per cell.

---

# 2
Here is an optimized crystal structure of Tm from the Open Quantum Materials Database. Energies are from PBE-GGA.

Cell lengths 3.4669, 3.4669, 5.9987 Å; angles 106.80, 73.20, 120.00 degrees
Fractional coordinates of all 2 atoms:
Tm: 0.2500 0.7500 0.2500
Tm: 0.7500 0.2500 0.7500

Properties
The value obtained for the excess energy over the best structure of this formula in the dataset is 0.75 kcal/mol of atoms. For the energy of formation, the calculation gives 0.033 eV per atom.

---

# 3
Here is an optimized crystal structure of Al2Co11 from the Open Quantum Materials Database. Energies are from PBE-GGA.

Cell lengths 8.6605, 8.6605, 8.6605 Å; angles 30.68, 30.68, 30.68 degrees
Last column: magnetic moment on the atom in μB.
Fractional coordinates of all 13 atoms:
Al: 0.4497 0.4497 0.4497  -0.04
Al: 0.5503 0.5503 0.5503  -0.04
Co: 0.0000 0.0000 0.0000  1.54
Co: 0.5848 0.0924 0.0924  1.37
Co: 0.0924 0.5848 0.0924  1.53
Co: 0.1654 0.1654 0.1654  1.63
Co: 0.3477 0.3477 0.3477  1.67
Co: 0.9076 0.9076 0.4152  1.37
Co: 0.0924 0.0924 0.5848  1.37
Co: 0.6523 0.6523 0.6523  1.67
Co: 0.8346 0.8346 0.8346  1.63
Co: 0.9076 0.4152 0.9076  1.53
Co: 0.4152 0.9076 0.9076  1.37

Properties
The value obtained for the excess energy over the best structure of this formula in the dataset is 1.71 kcal/mol of atoms.

---

# 4
Here is an optimized crystal structure of Ta2Be2W from the Open Quantum Materials Database. Energies are from PBE-GGA.

Cell lengths 6.3990, 6.3990, 3.3207 Å; angles 90.00, 90.00, 90.00 degrees
Fractional coordinates of all 10 atoms:
Be: 0.6158 0.1158 0.0000
Be: 0.1158 0.3842 0.0000
Be: 0.8842 0.6158 0.0000
Be: 0.3842 0.8842 0.0000
Ta: 0.3199 0.1801 0.5000
Ta: 0.8199 0.3199 0.5000
Ta: 0.1801 0.6801 0.5000
Ta: 0.6801 0.8199 0.5000
W: 0.0000 0.0000 0.0000
W: 0.5000 0.5000 0.0000

Properties
The total energy comes out at -90.8 eV per cell.

---

# 5
Here is an optimized crystal structure of K2NbH6O6 from the Open Quantum Materials Database. Energies are from PBE-GGA.

Cell lengths 5.5665, 5.5665, 5.5665 Å; angles 70.68, 70.68, 70.68 degrees
Last column: magnetic moment on the atom in μB.
Fractional coordinates of all 15 atoms:
H: 0.7511 0.6182 0.1958  0.00
H: 0.3818 0.8042 0.2489  0.00
H: 0.8042 0.2489 0.3818  0.01
H: 0.1958 0.7511 0.6182  0.01
H: 0.6182 0.1958 0.7511  0.00
H: 0.2489 0.3818 0.8042  0.00
K: 0.2899 0.2899 0.2899  0.00
K: 0.7101 0.7101 0.7101  0.00
Nb: 0.0000 0.0000 0.0000  0.88
O: 0.8015 0.3010 0.1920  -0.01
O: 0.6990 0.8080 0.1985  0.00
O: 0.1920 0.8015 0.3010  0.00
O: 0.8080 0.1985 0.6990  0.00
O: 0.3010 0.1920 0.8015  0.00
O: 0.1985 0.6990 0.8080  -0.01

Properties
The total energy comes out at -83.8 eV per cell.

---

# 6
Here is an optimized crystal structure of ScZnIn2Cu4 from the Open Quantum Materials Database. Energies are from PBE-GGA.

Cell lengths 4.4172, 4.4172, 6.4781 Å; angles 90.00, 90.00, 90.00 degrees
Fractional coordinates of all 8 atoms:
Cu: 0.5000 0.0000 0.2634
Cu: 0.0000 0.5000 0.2634
Cu: 0.5000 0.0000 0.7366
Cu: 0.0000 0.5000 0.7366
In: 0.0000 0.0000 0.0000
In: 0.5000 0.5000 0.5000
Sc: 0.5000 0.5000 0.0000
Zn: 0.0000 0.0000 0.5000

Properties
The total energy comes out at -28.8 eV per cell.

---

# 7
Here is an optimized crystal structure of Sm4N2Cl5 from the Open Quantum Materials Database. Energies are from PBE-GGA.

Cell lengths 9.4005, 9.4005, 7.8643 Å; angles 114.64, 114.64, 21.85 degrees
Fractional coordinates of all 11 atoms:
Cl: 0.5000 0.5000 0.0000
Cl: 0.8339 0.8339 0.0480
Cl: 0.1661 0.1661 0.3786
Cl: 0.8339 0.8339 0.6214
Cl: 0.1661 0.1661 0.9520
N: 0.4575 0.4575 0.4577
N: 0.5425 0.5425 0.5423
Sm: 0.0000 0.0000 0.2946
Sm: 0.3203 0.3203 0.3209
Sm: 0.6797 0.6797 0.6791
Sm: 0.0000 0.0000 0.7054

Properties
The total energy comes out at -63.5 eV per cell.

---

# 8
Here is an optimized crystal structure of Os from the Open Quantum Materials Database. Energies are from PBE-GGA.

Cell lengths 2.7270, 2.7270, 2.7270 Å; angles 120.00, 90.00, 120.00 degrees
Fractional coordinates of all 1 atoms:
Os: 0.0000 0.0000 0.0000

Properties
The value obtained for the excess energy over the best structure of this formula in the dataset is 3.14 kcal/mol of atoms. For the energy of formation, the calculation gives 0.136 eV per atom.

---

- Which formula does entry 1 have?
  HfTl2Re